(1)
8
Lattice="-0.294 5.000 -5.552 -2.504 -2.044 -6.743 -6.614 2.488 -2.444" Properties=species:S:1:pos:R:3 comment="YPaS6 (PBE-GGA, optimized geometry)" dos_at_fermi_per_ev_atom=0.896 total_magnetization_mub_per_cell=0.00 formation_energy_uncorrected_kj_per_mol_atoms=-66.1 pbc="T T T"
Y 0.000 0.000 0.000
S -6.866 1.607 -8.259
S -2.547 3.837 -6.480
S -3.628 0.389 -7.063
S -3.772 2.837 -9.781
S -5.640 2.607 -4.959
S -5.784 5.055 -7.677
Pa -4.706 2.722 -7.370

---

(2)
20
Lattice="6.664 0.000 0.000 0.000 8.190 -1.217 0.000 -0.374 8.272" Properties=species:S:1:pos:R:3 comment="Pa3ZnS6 (PBE-GGA, optimized geometry)" dos_at_fermi_per_ev_atom=1.129 total_magnetization_mub_per_cell=4.18 formation_energy_uncorrected_kj_per_mol_atoms=-135.8 pbc="T T T"
Pa 6.605 5.594 6.791
Pa 2.507 3.151 4.366
Pa 6.605 0.490 2.184
Pa 3.273 2.222 0.264
Pa 5.839 4.665 2.688
Pa 3.273 7.327 4.871
S 4.865 8.072 -1.086
S 0.964 6.136 1.059
S 1.179 5.617 4.354
S 4.820 4.492 0.119
S 1.179 2.912 1.912
S 1.533 -0.255 8.140
S 1.488 0.578 4.456
S 4.511 4.905 5.143
S 1.488 3.324 6.935
S 4.511 2.199 2.701
S 4.820 7.239 2.598
S 4.296 1.681 5.995
Zn 6.342 2.482 5.108
Zn 3.010 5.335 1.947

---

(3)
6
Lattice="3.938 0.000 0.000 0.000 6.433 0.704 0.000 0.723 6.367" Properties=species:S:1:pos:R:3 comment="PaZnS4 (PBE-GGA, optimized geometry)" dos_at_fermi_per_ev_atom=0.325 total_magnetization_mub_per_cell=1.00 formation_energy_uncorrected_kj_per_mol_atoms=-85.3 pbc="T T T"
S 0.000 1.809 2.241
S 1.969 5.282 1.631
S 1.969 1.875 5.439
S 0.000 5.347 4.830
Zn 0.000 0.000 0.000
Pa 1.969 0.361 3.183

---

(4)
18
Lattice="-0.644 2.780 5.454 0.802 -6.104 3.206 8.622 1.305 0.329" Properties=species:S:1:pos:R:3 comment="Pa2ZnS6 (PBE-GGA, optimized geometry)" total_magnetization_mub_per_cell=0.00 formation_energy_uncorrected_kj_per_mol_atoms=-123.0 pbc="T T T"
Pa 1.872 0.703 6.438
Pa 2.469 -3.456 5.885
Pa 6.909 -2.722 2.550
Pa 6.312 1.437 3.103
S 3.460 1.359 4.290
S 8.541 -2.910 4.777
S 8.221 -0.344 2.234
S 6.741 -2.491 7.887
S 6.354 0.042 5.291
S 0.560 -1.675 6.754
S 3.782 -1.212 6.835
S 2.426 -2.061 3.697
S 4.999 -0.807 2.153
S 0.239 0.891 4.211
S 5.320 -3.378 4.699
S 2.040 0.472 1.101
Zn 4.311 0.653 0.164
Zn 0.079 -1.662 4.330

---

(5)
4
Lattice="-0.392 2.740 2.933 -3.119 -0.207 2.548 4.108 -4.825 7.829" Properties=species:S:1:pos:R:3 comment="PaZnS2 (PBE-GGA, optimized geometry)" dos_at_fermi_per_ev_atom=1.393 total_magnetization_mub_per_cell=1.01 formation_energy_uncorrected_kj_per_mol_atoms=-88.1 pbc="T T T"
Pa 0.298 -1.146 6.655
Zn 0.000 0.000 0.000
S -1.634 0.517 7.616
S 2.231 -2.809 5.694

---

(6)
4
Lattice="3.300 0.000 0.000 1.650 2.858 0.000 1.650 0.953 10.182" Properties=species:S:1:pos:R:3 comment="Pa2ZnS (PBE-GGA, optimized geometry)" dos_at_fermi_per_ev_atom=1.729 total_magnetization_mub_per_cell=0.00 formation_energy_uncorrected_kj_per_mol_atoms=-19.1 pbc="T T T"
Pa 4.951 2.858 3.108
Pa 1.650 0.953 7.074
Zn 0.000 0.000 0.000
S 3.300 1.906 5.091

---

(7)
80
Lattice="-1.523 12.727 -1.936 -9.266 -4.296 7.983 11.627 -2.205 5.292" Properties=species:S:1:pos:R:3 comment="Pa3Zn5S12 (PBE-GGA, optimized geometry)" dos_at_fermi_per_ev_atom=0.358 total_magnetization_mub_per_cell=4.80 formation_energy_uncorrected_kj_per_mol_atoms=-102.7 pbc="T T T"
S -5.561 -0.348 5.457
S -1.622 9.994 2.618
S -4.258 -3.604 9.086
S -4.849 9.308 3.765
S 5.096 9.831 2.253
S 6.794 3.469 6.366
S 5.687 -3.082 7.574
S 5.025 3.384 3.328
S -2.983 -0.338 3.493
S -3.352 2.776 3.046
S -6.396 5.941 7.175
S 1.533 5.341 5.472
S 0.744 -0.098 2.384
S -1.122 7.172 4.130
S -1.924 1.858 10.110
S 7.233 0.285 4.164
S 10.086 -0.243 5.436
S 7.930 9.307 3.567
S 4.189 3.451 8.293
S 0.094 6.325 8.955
S -0.557 -2.651 8.331
S 0.331 2.932 8.161
S 2.188 0.567 9.983
S -7.093 -3.081 7.773
S -2.979 -0.157 7.801
S -5.957 2.757 4.974
S -4.498 6.198 4.254
S 1.395 8.877 3.008
S -9.248 6.469 5.903
S 0.507 3.295 3.179
S -1.351 5.660 1.356
S 2.459 -3.767 8.721
S 6.398 6.574 5.883
S 1.194 7.333 0.250
S -0.696 0.885 5.868
S 3.820 6.565 7.846
S 3.816 6.383 3.538
S 1.959 -0.945 7.209
S -2.742 6.889 7.662
S 3.580 -0.663 3.677
S 2.643 -2.260 11.501
S -1.932 3.876 6.042
S 2.761 4.369 1.230
S 2.770 2.351 5.297
S -4.188 2.842 8.011
S -1.806 8.486 -0.162
S 5.336 0.028 7.086
S -0.357 -1.106 11.089
Zn 6.991 2.582 4.241
Zn 1.596 6.798 7.265
Zn 7.873 7.079 4.177
Zn -5.395 4.216 3.023
Zn 0.000 0.000 0.000
Zn -6.153 3.645 7.098
Zn 2.272 2.803 9.408
Zn 5.052 5.261 1.678
Zn -0.759 -0.571 4.075
Zn 0.419 3.113 5.670
Zn 1.180 -3.250 6.638
Zn 5.813 -1.103 2.646
Zn 3.411 0.193 5.817
Zn 3.618 8.684 3.609
Zn -0.761 6.364 -0.968
Zn -2.780 -2.458 7.730
Zn -1.434 3.423 1.931
Zn -2.574 6.034 5.522
Zn -7.036 -0.852 7.163
Zn -4.633 -2.148 3.992
Pa 4.001 -1.432 9.136
Pa 2.821 1.818 2.498
Pa 7.666 -1.413 6.385
Pa 0.416 10.048 0.627
Pa -0.254 0.173 8.569
Pa 4.293 4.690 5.753
Pa 1.092 6.054 2.770
Pa -1.984 4.409 8.841
Pa 0.421 -3.822 10.712
Pa -6.829 7.639 4.955
Pa -3.164 7.659 2.203
Pa -3.456 1.537 5.586

---

(8)
18
Lattice="6.418 0.000 -0.005 0.000 6.805 0.000 1.266 0.000 9.255" Properties=species:S:1:pos:R:3 comment="ZrPa2S6 (PBE-GGA, optimized geometry)" dos_at_fermi_per_ev_atom=0.849 de_polymorph_ev_per_fu=0.00 total_magnetization_mub_per_cell=0.00 formation_energy_uncorrected_kj_per_mol_atoms=-151.7 pbc="T T T"
Pa 1.284 4.231 7.192
Pa 6.400 2.575 2.059
Pa 3.860 5.977 2.562
Pa 3.824 0.828 6.689
S 5.330 3.000 6.882
S 3.270 5.583 8.458
S 1.488 0.403 2.257
S 2.785 5.520 5.183
S 1.839 2.180 5.423
S 5.361 4.688 0.553
S 4.899 1.286 4.068
S 2.323 2.117 8.698
S 2.354 3.805 2.368
S 5.845 4.625 3.828
S 4.414 1.222 0.793
S 6.196 6.403 6.994
Zr 0.633 0.000 4.628
Zr 3.209 3.403 -0.002

---

(9)
20
Lattice="3.767 0.000 0.000 0.000 7.229 0.000 0.000 0.000 14.442" Properties=species:S:1:pos:R:3 comment="ZrPaS3 (PBE-GGA, optimized geometry)" dos_at_fermi_per_ev_atom=0.690 de_polymorph_ev_per_fu=0.00 total_magnetization_mub_per_cell=0.00 formation_energy_uncorrected_kj_per_mol_atoms=-156.6 pbc="T T T"
S 2.826 3.563 12.991
S 2.826 0.877 0.918
S 0.942 1.192 11.207
S 0.942 0.052 5.770
S 0.942 6.352 13.524
S 2.826 7.177 8.673
S 0.942 4.806 10.456
S 2.826 2.422 3.986
S 2.826 4.491 6.303
S 0.942 2.738 8.140
S 0.942 3.666 1.452
S 2.826 6.037 3.235
Pa 0.942 0.768 2.957
Pa 2.826 6.460 11.485
Pa 0.942 4.383 4.264
Pa 2.826 2.846 10.178
Zr 2.826 5.406 0.694
Zr 0.942 1.822 13.748
Zr 0.942 5.437 7.915
Zr 2.826 1.792 6.527